Record 1
# HfRe2CF, optimized geometry, DFT PBE-GGA
# Size of the total moment: 0.75 μB/atom
# Formation energy from raw total energies: 2.2299 eV/atom
# Crystal system: tetragonal
# Density of states at the Fermi level: 3.308 states/eV/cell
# ρ: 9.835 g cm⁻³
# Energy: -6.96 eV per atom
data_HfRe2CF
_chemical_formula_sum 'Hf1 Re2 C1 F1'
_symmetry_space_group_name_H-M 'P 4/m m m'
_symmetry_Int_Tables_number 123
_symmetry_space_group_name_Hall '-P 4 2'
_cell_length_a 4.977
_cell_length_b 4.977
_cell_length_c 3.966
_cell_angle_alpha 90.00
_cell_angle_beta 90.00
_cell_angle_gamma 90.00
loop_
_atom_site_label
_atom_site_type_symbol
_atom_site_fract_x
_atom_site_fract_y
_atom_site_fract_z
Hf1 Hf 0.000 0.000 0.000
Re1 Re 0.000 0.500 0.000
C1 C 0.500 0.500 0.500
F1 F 0.000 0.000 0.500

Record 2
# PrSmCl6, optimized geometry, DFT PBE-GGA
# Size of the total moment: 0.00 μB/atom
# Formation energy from raw total energies: -2.2392 eV/atom
# Crystal system: trigonal
# Density of states at the Fermi level: 0.000 states/eV/cell
# ρ: 3.178 g cm⁻³
# Energy: -4.81 eV per atom
data_PrSmCl6
_chemical_formula_sum 'Pr3 Sm3 Cl18'
_symmetry_space_group_name_H-M 'R -3'
_symmetry_Int_Tables_number 148
_symmetry_space_group_name_Hall '-R 3'
_cell_length_a 6.9161
_cell_length_b 6.9161
_cell_length_c 19.0701
_cell_angle_alpha 90.00
_cell_angle_beta 90.00
_cell_angle_gamma 120.00
loop_
_atom_site_label
_atom_site_type_symbol
_atom_site_fract_x
_atom_site_fract_y
_atom_site_fract_z
Pr1 Pr 0.0000 0.0000 0.0000
Sm1 Sm 0.0000 0.0000 0.5000
Cl1 Cl 0.0042 0.6508 0.2490

Record 3
# MnHN, optimized geometry, DFT PBE-GGA
# Size of the total moment: 0.72 μB/atom
# Crystal system: tetragonal
# Density of states at the Fermi level: 1.275 states/eV/cell
# ρ: 4.602 g cm⁻³
# Energy: -6.87 eV per atom
data_MnHN
_chemical_formula_sum 'Mn1 H1 N1'
_symmetry_space_group_name_H-M 'P 4/m m m'
_symmetry_Int_Tables_number 123
_symmetry_space_group_name_Hall '-P 4 2'
_cell_length_a 2.716
_cell_length_b 2.716
_cell_length_c 3.421
_cell_angle_alpha 90.00
_cell_angle_beta 90.00
_cell_angle_gamma 90.00
loop_
_atom_site_label
_atom_site_type_symbol
_atom_site_fract_x
_atom_site_fract_y
_atom_site_fract_z
Mn1 Mn 0.000 0.000 0.000
H1 H 0.000 0.000 0.500
N1 N 0.500 0.500 0.000

Record 4
# Pm2ThCo, optimized geometry, DFT PBE-GGA
# Size of the total moment: 0.00 μB/atom
# Crystal system: orthorhombic
# Formation enthalpy at 0 K: -0.14 eV per atom
# Density of states at the Fermi level: 19.922 states/eV/cell
# ρ: 8.657 g cm⁻³
# Energy: -6.15 eV per atom
data_Pm2ThCo
_chemical_formula_sum 'Pm8 Th4 Co4'
_symmetry_space_group_name_H-M 'P n m a'
_symmetry_Int_Tables_number 62
_cell_length_a 7.004
_cell_length_b 9.908
_cell_length_c 6.423
_cell_angle_alpha 90.00
_cell_angle_beta 90.00
_cell_angle_gamma 90.00
loop_
_symmetry_equiv_pos_as_xyz
'x,y,z'
'-x,-y,-z'
'-x+1/2,-y,z+1/2'
'x+1/2,y,-z+1/2'
'x+1/2,-y+1/2,-z+1/2'
'-x+1/2,y+1/2,z+1/2'
'-x,y+1/2,-z'
'x,-y+1/2,z'
loop_
_atom_site_label
_atom_site_type_symbol
_atom_site_fract_x
_atom_site_fract_y
_atom_site_fract_z
Pm1 Pm 0.169 0.070 0.176
Th1 Th 0.054 0.250 0.671
Co1 Co 0.133 0.750 0.979